An optimized crystal structure of Tb2Al4GaCu3. Source: the Alexandria database, functional PBE.

POSCAR file:
```
Tb2Al4GaCu3
1.0
-2.183 1.566 -3.192
-0.283 -3.810 -1.676
-8.694 -1.619 5.151
Cu Tb Al Ga
3 2 4 1
direct
0.000 0.500 0.128
0.000 0.000 0.500
0.500 0.000 0.872
0.000 0.500 0.752
0.500 0.000 0.248
0.500 0.000 0.641
0.000 0.500 0.359
0.000 0.000 0.000
0.500 0.500 0.000
0.500 0.500 0.500
```

N(E_F), states/eV per cell: 3.68

An optimized crystal structure of TbAlGa2Cu4. Source: the Alexandria database, functional PBE.

POSCAR file:
```
TbAlGa2Cu4
1.0
-3.731 0.460 1.810
-1.043 -2.382 3.264
1.630 5.062 6.883
Ga Cu Al Tb
2 4 1 1
direct
0.751 0.751 0.746
0.249 0.249 0.254
0.868 0.868 0.395
0.597 0.597 0.209
0.132 0.132 0.605
0.403 0.403 0.791
0.500 0.500 0.500
0.000 0.000 0.000
```

N(E_F), states/eV per cell: 1.83

Number 1: E_form -4.43 eV per formula unit. Number 2: E_form -2.12 eV per formula unit.